(1)
Ca4Dy: relaxed, PBE.

a = 6.155 Å, b = 6.155 Å, c = 6.155 Å
α = 90.00°, β = 90.00°, γ = 90.00°
Site moments in Bohr magnetons follow the coordinates.
Element x y z (fractional)
Ca  0.000  0.000  0.000  0.00
Ca  0.500  0.000  0.500  0.10
Ca  0.000  0.500  0.500  0.10
Ca  0.500  0.500  0.000  0.10
Dy  0.500  0.500  0.500  0.77

The calculation puts the formation energy at 325 kJ/mol of formula units. The total moment comes out at 1.99 μB/cell.

***

(2)
CaDy8: relaxed, PBE.

a = 6.184 Å, b = 10.719 Å, c = 6.185 Å
α = 73.09°, β = 59.99°, γ = 54.57°
Element x y z (fractional)
Ca  0.000  0.000  0.000
Dy  0.667  0.000  0.667
Dy  0.333  0.000  0.333
Dy  0.001  0.338  0.662
Dy  0.325  0.337  0.000
Dy  0.663  0.338  0.338
Dy  0.675  0.663  0.000
Dy  0.999  0.662  0.338
Dy  0.337  0.662  0.662

The calculation puts the formation energy at 55 kJ/mol of formula units. The total moment comes out at 0.00 μB/cell.

***

Question: What is the formula in the second record?
Answer: CaDy8

***

Question: Among the records above, which one has the highest total moment?
Answer: Ca4Dy